# HoTiAlHg

A relaxed structure of HoTiAlHg (PBE-GGA, the Alexandria database).

Summary:
size of the total moment	0.3561	μB/atom
E_tot	-17.18	eV/f.u.
ΔE_f	-166	meV/atom

Cell: 6.9756 6.9756 6.9756 Å, 90.00 90.00 90.00°
Last column: nearest neighbours and their distance in Å.
Space group F-43m (No. 216)
Symmetry-distinct sites (fractional):
Ho: 0.0000 0.0000 0.0000  4 Hg 3.02, 4 Al 3.02
Ti: 0.0000 0.0000 0.5000  4 Al 3.02, 4 Hg 3.02
Al: 0.2500 0.2500 0.2500  4 Ho 3.02, 4 Ti 3.02
Hg: 0.2500 0.2500 0.7500  4 Ho 3.02, 4 Ti 3.02

***

# HoTmAlHg

A relaxed structure of HoTmAlHg (PBE-GGA, the Alexandria database).

Summary:
size of the total moment	0.0000	μB/atom
E_tot	-14.81	eV/f.u.
ΔE_f	-428	meV/atom

Cell: 3.5916 3.5916 7.4435 Å, 90.00 90.00 90.00°
Last column: nearest neighbours and their distance in Å.
Space group P4mm (No. 99)
Symmetry-distinct sites (fractional):
Ho: 0.0000 0.0000 0.0000  4 Al 3.12, 4 Hg 3.22
Tm: 0.0000 0.0000 0.5189  4 Al 3.10, 4 Hg 3.16
Al: 0.5000 0.5000 0.7572  4 Tm 3.10, 4 Ho 3.12
Hg: 0.5000 0.5000 0.2660  4 Tm 3.16, 4 Ho 3.22

***

Copy entry 2 word for word.
# HoTmAlHg

A relaxed structure of HoTmAlHg (PBE-GGA, the Alexandria database).

Summary:
size of the total moment	0.0000	μB/atom
E_tot	-14.81	eV/f.u.
ΔE_f	-428	meV/atom

Cell: 3.5916 3.5916 7.4435 Å, 90.00 90.00 90.00°
Last column: nearest neighbours and their distance in Å.
Space group P4mm (No. 99)
Symmetry-distinct sites (fractional):
Ho: 0.0000 0.0000 0.0000  4 Al 3.12, 4 Hg 3.22
Tm: 0.0000 0.0000 0.5189  4 Al 3.10, 4 Hg 3.16
Al: 0.5000 0.5000 0.7572  4 Tm 3.10, 4 Ho 3.12
Hg: 0.5000 0.5000 0.2660  4 Tm 3.16, 4 Ho 3.22

***

size of the total moment of number 1 (HoTiAlHg)?
0.3561 μB/atom

***

Which value of size of the total moment does entry 1 give?
0.3561 μB/atom

***

E_tot of number 2 (HoTmAlHg)?
-14.81 eV/f.u.